Entry 1:
First-principles (PBE) data for a geometry-optimized Ac2Ga5Pt3 structure, as listed in OQMD.

```
data_Ac2Ga5Pt3
_cell_length_a 10.599
_cell_length_b 12.791
_cell_length_c 6.119
_cell_angle_alpha 90.00
_cell_angle_beta 90.00
_cell_angle_gamma 90.00
_space_group_name_H-M_alt 'I b a m'
_space_group_IT_number 72
_space_group_name_Hall '-I 2 2c'
loop_
_atom_site_label
_atom_site_type_symbol
_atom_site_fract_x
_atom_site_fract_y
_atom_site_fract_z
Ac1 Ac 0.232 0.131 0.000
Ga1 Ga 0.000 0.000 0.250
Ga2 Ga 0.000 0.275 0.250
Ga3 Ga 0.148 0.393 0.000
Pt1 Pt 0.000 0.500 0.250
Pt2 Pt 0.112 0.137 0.500
```

Computed properties:
The value obtained for the total energy is -5.044 eV per atom.

=====

Entry 2:
First-principles (PBE) data for a geometry-optimized Dy3Mg3AgPd2 structure, as listed in OQMD.

```
data_Dy3Mg3AgPd2
_cell_length_a 7.5193
_cell_length_b 7.5193
_cell_length_c 4.0493
_cell_angle_alpha 90.00
_cell_angle_beta 90.00
_cell_angle_gamma 120.00
_space_group_name_H-M_alt 'P -6 2 m'
_space_group_IT_number 189
_space_group_name_Hall 'P -6 -2'
loop_
_atom_site_label
_atom_site_type_symbol
_atom_site_fract_x
_atom_site_fract_y
_atom_site_fract_z
Dy1 Dy 0.0000 0.4192 0.0000
Mg1 Mg 0.0000 0.7490 0.5000
Ag1 Ag 0.0000 0.0000 0.0000
Pd1 Pd 0.3333 0.6667 0.5000
```

Computed properties:
The value obtained for the total energy is -4.069 eV per atom.

=====

Copy entry 1 word for word.
First-principles (PBE) data for a geometry-optimized Ac2Ga5Pt3 structure, as listed in OQMD.

```
data_Ac2Ga5Pt3
_cell_length_a 10.599
_cell_length_b 12.791
_cell_length_c 6.119
_cell_angle_alpha 90.00
_cell_angle_beta 90.00
_cell_angle_gamma 90.00
_space_group_name_H-M_alt 'I b a m'
_space_group_IT_number 72
_space_group_name_Hall '-I 2 2c'
loop_
_atom_site_label
_atom_site_type_symbol
_atom_site_fract_x
_atom_site_fract_y
_atom_site_fract_z
Ac1 Ac 0.232 0.131 0.000
Ga1 Ga 0.000 0.000 0.250
Ga2 Ga 0.000 0.275 0.250
Ga3 Ga 0.148 0.393 0.000
Pt1 Pt 0.000 0.500 0.250
Pt2 Pt 0.112 0.137 0.500
```

Computed properties:
The value obtained for the total energy is -5.044 eV per atom.